Entry from the Alexandria database: BeCd2Rh after structural relaxation (GGA-PBE).

```
data_BeCd2Rh
_chemical_formula_sum 'Be1 Cd2 Rh1'
_cell_length_a 3.0061
_cell_length_b 3.0061
_cell_length_c 7.1631
_cell_angle_alpha 90.00
_cell_angle_beta 90.00
_cell_angle_gamma 90.00
_space_group_name_H-M_alt 'P 4 m m'
_space_group_IT_number 99
_space_group_name_Hall 'P 4 -2'
loop_
_atom_site_label
_atom_site_type_symbol
_atom_site_fract_x
_atom_site_fract_y
_atom_site_fract_z
Be1 Be 0.0000 0.0000 0.0000
Cd1 Cd 0.0000 0.0000 0.6056
Cd2 Cd 0.5000 0.5000 0.2757
Rh1 Rh 0.5000 0.5000 0.8810
```

Values from the calculation:
Fermi-level density of states = 0.32 states/eV/atom
electronic total energy = -13.68 eV for the cell shown
total moment = 0.00 μB/atom
formation enthalpy at 0 K = -0.77 eV/f.u.